Below is crystalline Ba3AgH at its relaxed geometry, with properties calculated at the PBE level.

Unit cell a=5.669 b=5.669 c=5.669 alpha=90.00 beta=90.00 gamma=90.00
Sites, in units of the cell vectors:
Ba: 0.000 0.000 0.500
Ba: 0.000 0.500 0.000
Ba: 0.500 0.000 0.000
Ag: 0.500 0.500 0.500
H: 0.000 0.000 0.000

Values from the calculation:
Symmetry: No. 221
Crystal system: cubic



Below is crystalline Ba3AgH at its relaxed geometry, with properties calculated at the PBE level.

Unit cell a=9.004 b=4.437 c=9.684 alpha=90.00 beta=102.04 gamma=90.00
Sites, in units of the cell vectors:
Ba: 0.063 0.250 0.336
Ba: 0.266 0.250 0.975
Ba: 0.383 0.750 0.636
Ba: 0.617 0.250 0.364
Ba: 0.734 0.750 0.025
Ba: 0.937 0.750 0.664
Ag: 0.326 0.750 0.257
Ag: 0.674 0.250 0.743
H: 0.165 0.250 0.655
H: 0.835 0.750 0.345

Values from the calculation:
Symmetry: No. 11
Crystal system: monoclinic



Below is crystalline Ba4AgH at its relaxed geometry, with properties calculated at the PBE level.

Unit cell a=7.608 b=9.462 c=7.901 alpha=90.00 beta=90.65 gamma=90.00
Sites, in units of the cell vectors:
Ba: 0.209 0.250 0.174
Ba: 0.235 0.750 0.160
Ba: 0.255 0.516 0.685
Ba: 0.255 0.984 0.685
Ba: 0.745 0.016 0.315
Ba: 0.745 0.484 0.315
Ba: 0.765 0.250 0.840
Ba: 0.791 0.750 0.826
Ag: 0.481 0.250 0.511
Ag: 0.519 0.750 0.489
H: 0.138 0.750 0.838
H: 0.862 0.250 0.162

Values from the calculation:
Symmetry: No. 11
Crystal system: monoclinic



Below is crystalline Ba2AgH at its relaxed geometry, with properties calculated at the PBE level.

Unit cell a=3.878 b=3.878 c=8.036 alpha=90.00 beta=90.00 gamma=90.00
Sites, in units of the cell vectors:
Ba: 0.000 0.000 0.239
Ba: 0.000 0.000 0.761
Ag: 0.500 0.500 0.500
H: 0.500 0.500 0.000

Values from the calculation:
Symmetry: No. 123
Crystal system: tetragonal



Below is crystalline Ba2AgH2 at its relaxed geometry, with properties calculated at the PBE level.

Unit cell a=4.297 b=4.297 c=14.515 alpha=90.00 beta=90.00 gamma=90.00
Sites, in units of the cell vectors:
Ba: 0.000 0.000 0.146
Ba: 0.000 0.000 0.854
Ba: 0.500 0.500 0.354
Ba: 0.500 0.500 0.646
Ag: 0.000 0.000 0.500
Ag: 0.500 0.500 0.000
H: 0.000 0.500 0.250
H: 0.000 0.500 0.750
H: 0.500 0.000 0.250
H: 0.500 0.000 0.750

Values from the calculation:
Symmetry: No. 139
Crystal system: tetragonal



Below is crystalline Ba6AgH2 at its relaxed geometry, with properties calculated at the PBE level.

Unit cell a=7.608 b=8.216 c=13.660 alpha=90.00 beta=111.71 gamma=90.00
Sites, in units of the cell vectors:
Ba: 0.058 0.116 0.376
Ba: 0.058 0.384 0.876
Ba: 0.240 0.642 0.468
Ba: 0.240 0.858 0.968
Ba: 0.404 0.200 0.699
Ba: 0.404 0.300 0.199
Ba: 0.596 0.700 0.801
Ba: 0.596 0.800 0.301
Ba: 0.760 0.142 0.032
Ba: 0.760 0.358 0.532
Ba: 0.942 0.616 0.124
Ba: 0.942 0.884 0.624
Ag: 0.500 0.000 0.500
Ag: 0.500 0.500 0.000
H: 0.049 0.161 0.566
H: 0.049 0.339 0.066
H: 0.951 0.661 0.934
H: 0.951 0.839 0.434

Values from the calculation:
Symmetry: No. 14
Crystal system: monoclinic



Below is crystalline Ba2AgH at its relaxed geometry, with properties calculated at the PBE level.

Unit cell a=4.538 b=4.538 c=22.395 alpha=90.00 beta=90.00 gamma=120.00
Sites, in units of the cell vectors:
Ba: 0.000 0.000 0.240
Ba: 0.000 0.000 0.760
Ba: 0.333 0.667 0.426
Ba: 0.333 0.667 0.907
Ba: 0.667 0.333 0.093
Ba: 0.667 0.333 0.574
Ag: 0.000 0.000 0.000
Ag: 0.333 0.667 0.667
Ag: 0.667 0.333 0.333
H: 0.000 0.000 0.500
H: 0.333 0.667 0.167
H: 0.667 0.333 0.833

Values from the calculation:
Symmetry: No. 166
Crystal system: trigonal



Below is crystalline Ba2AgH at its relaxed geometry, with properties calculated at the PBE level.

Unit cell a=7.960 b=7.960 c=7.960 alpha=90.00 beta=90.00 gamma=90.00
Sites, in units of the cell vectors:
Ba: 0.250 0.250 0.250
Ba: 0.250 0.250 0.750
Ba: 0.250 0.750 0.250
Ba: 0.250 0.750 0.750
Ba: 0.750 0.250 0.250
Ba: 0.750 0.250 0.750
Ba: 0.750 0.750 0.250
Ba: 0.750 0.750 0.750
Ag: 0.000 0.000 0.000
Ag: 0.000 0.500 0.500
Ag: 0.500 0.000 0.500
Ag: 0.500 0.500 0.000
H: 0.000 0.000 0.500
H: 0.000 0.500 0.000
H: 0.500 0.000 0.000
H: 0.500 0.500 0.500

Values from the calculation:
Symmetry: No. 225
Crystal system: cubic



Below is crystalline BaAgH at its relaxed geometry, with properties calculated at the PBE level.

Unit cell a=10.870 b=10.870 c=12.790 alpha=108.33 beta=108.33 gamma=103.23
Sites, in units of the cell vectors:
Ba: 0.000 0.000 0.000
Ba: 0.151 0.412 0.747
Ba: 0.178 0.690 0.564
Ba: 0.272 0.913 0.350
Ba: 0.333 0.846 0.929
Ba: 0.381 0.631 0.160
Ba: 0.398 0.398 0.557
Ba: 0.412 0.151 0.747
Ba: 0.602 0.602 0.925
Ba: 0.612 0.875 0.734
Ba: 0.631 0.381 0.160
Ba: 0.690 0.178 0.564
Ba: 0.846 0.333 0.929
Ba: 0.875 0.612 0.734
Ba: 0.913 0.272 0.350
Ba: 0.987 0.987 0.485
Ag: 0.111 0.111 0.806
Ag: 0.123 0.464 0.241
Ag: 0.146 0.146 0.299
Ag: 0.161 0.324 0.025
Ag: 0.324 0.161 0.025
Ag: 0.337 0.337 0.258
Ag: 0.404 0.629 0.422
Ag: 0.464 0.123 0.241
Ag: 0.622 0.949 0.264
Ag: 0.629 0.404 0.422
Ag: 0.643 0.822 0.445
Ag: 0.720 0.720 0.240
Ag: 0.822 0.643 0.445
Ag: 0.878 0.878 0.657
Ag: 0.903 0.903 0.200
Ag: 0.949 0.622 0.264
H: 0.090 0.790 0.939
H: 0.124 0.641 0.737
H: 0.150 0.427 0.540
H: 0.219 0.932 0.537
H: 0.369 0.623 0.951
H: 0.381 0.381 0.753
H: 0.389 0.908 0.761
H: 0.427 0.150 0.540
H: 0.427 0.657 0.744
H: 0.623 0.369 0.951
H: 0.641 0.124 0.737
H: 0.657 0.427 0.744
H: 0.763 0.763 0.858
H: 0.790 0.090 0.939
H: 0.908 0.389 0.761
H: 0.932 0.219 0.537

Values from the calculation:
Symmetry: No. 8
Crystal system: monoclinic



Below is crystalline Ba2AgH at its relaxed geometry, with properties calculated at the PBE level.

Unit cell a=4.952 b=4.952 c=25.877 alpha=90.00 beta=90.00 gamma=120.00
Sites, in units of the cell vectors:
Ba: 0.004 0.338 0.429
Ba: 0.333 0.996 0.762
Ba: 0.338 0.004 0.571
Ba: 0.662 0.667 0.096
Ba: 0.667 0.662 0.904
Ba: 0.996 0.333 0.238
Ag: 0.000 0.329 0.833
Ag: 0.329 0.000 0.167
Ag: 0.671 0.671 0.500
H: 0.000 0.336 0.333
H: 0.336 0.000 0.667
H: 0.664 0.664 0.000

Values from the calculation:
Symmetry: No. 154
Crystal system: trigonal



Below is crystalline Ba2AgH2 at its relaxed geometry, with properties calculated at the PBE level.

Unit cell a=7.947 b=7.947 c=3.683 alpha=90.00 beta=90.00 gamma=90.00
Sites, in units of the cell vectors:
Ba: 0.176 0.324 0.000
Ba: 0.324 0.824 0.000
Ba: 0.676 0.176 0.000
Ba: 0.824 0.676 0.000
Ag: 0.000 0.000 0.500
Ag: 0.500 0.500 0.500
H: 0.122 0.622 0.500
H: 0.378 0.122 0.500
H: 0.622 0.878 0.500
H: 0.878 0.378 0.500

Values from the calculation:
Symmetry: No. 127
Crystal system: tetragonal



Below is crystalline Ba8AgH2 at its relaxed geometry, with properties calculated at the PBE level.

Unit cell a=9.078 b=9.078 c=7.575 alpha=92.62 beta=92.62 gamma=60.96
Sites, in units of the cell vectors:
Ba: 0.143 0.666 0.751
Ba: 0.166 0.166 0.797
Ba: 0.334 0.857 0.249
Ba: 0.336 0.336 0.251
Ba: 0.664 0.664 0.749
Ba: 0.666 0.143 0.751
Ba: 0.834 0.834 0.203
Ba: 0.857 0.334 0.249
Ag: 0.000 0.000 0.500
H: 0.174 0.174 0.149
H: 0.826 0.826 0.851

Values from the calculation:
Symmetry: No. 12
Crystal system: monoclinic



Below is crystalline Ba12Ag3H5 at its relaxed geometry, with properties calculated at the PBE level.

Unit cell a=15.743 b=15.743 c=15.743 alpha=109.47 beta=109.47 gamma=109.47
Sites, in units of the cell vectors:
Ba: 0.022 0.211 0.120
Ba: 0.022 0.312 0.903
Ba: 0.091 0.711 0.688
Ba: 0.091 0.880 0.403
Ba: 0.097 0.620 0.409
Ba: 0.097 0.978 0.688
Ba: 0.120 0.022 0.211
Ba: 0.120 0.597 0.909
Ba: 0.188 0.211 0.591
Ba: 0.188 0.478 0.597
Ba: 0.211 0.120 0.022
Ba: 0.211 0.591 0.188
Ba: 0.289 0.312 0.909
Ba: 0.289 0.478 0.380
Ba: 0.312 0.903 0.022
Ba: 0.312 0.909 0.289
Ba: 0.380 0.289 0.478
Ba: 0.380 0.591 0.903
Ba: 0.403 0.091 0.880
Ba: 0.403 0.812 0.522
Ba: 0.409 0.097 0.620
Ba: 0.409 0.812 0.789
Ba: 0.478 0.380 0.289
Ba: 0.478 0.597 0.188
Ba: 0.522 0.403 0.812
Ba: 0.522 0.620 0.711
Ba: 0.591 0.188 0.211
Ba: 0.591 0.903 0.380
Ba: 0.597 0.188 0.478
Ba: 0.597 0.909 0.120
Ba: 0.620 0.409 0.097
Ba: 0.620 0.711 0.522
Ba: 0.688 0.091 0.711
Ba: 0.688 0.097 0.978
Ba: 0.711 0.522 0.620
Ba: 0.711 0.688 0.091
Ba: 0.789 0.409 0.812
Ba: 0.789 0.880 0.978
Ba: 0.812 0.522 0.403
Ba: 0.812 0.789 0.409
Ba: 0.880 0.403 0.091
Ba: 0.880 0.978 0.789
Ba: 0.903 0.022 0.312
Ba: 0.903 0.380 0.591
Ba: 0.909 0.120 0.597
Ba: 0.909 0.289 0.312
Ba: 0.978 0.688 0.097
Ba: 0.978 0.789 0.880
Ag: 0.125 0.250 0.375
Ag: 0.125 0.375 0.750
Ag: 0.250 0.375 0.125
Ag: 0.250 0.875 0.625
Ag: 0.375 0.125 0.250
Ag: 0.375 0.750 0.125
Ag: 0.625 0.250 0.875
Ag: 0.625 0.875 0.750
Ag: 0.750 0.125 0.375
Ag: 0.750 0.625 0.875
Ag: 0.875 0.625 0.250
Ag: 0.875 0.750 0.625
H: 0.000 0.000 0.000
H: 0.000 0.000 0.500
H: 0.000 0.500 0.000
H: 0.000 0.500 0.500
H: 0.125 0.750 0.875
H: 0.125 0.875 0.250
H: 0.250 0.125 0.875
H: 0.250 0.625 0.375
H: 0.375 0.250 0.625
H: 0.375 0.625 0.750
H: 0.500 0.000 0.000
H: 0.500 0.000 0.500
H: 0.500 0.500 0.000
H: 0.500 0.500 0.500
H: 0.625 0.375 0.250
H: 0.625 0.750 0.375
H: 0.750 0.375 0.625
H: 0.750 0.875 0.125
H: 0.875 0.125 0.750
H: 0.875 0.250 0.125

Values from the calculation:
Symmetry: No. 230
Crystal system: cubic



Below is crystalline BaAgH4 at its relaxed geometry, with properties calculated at the PBE level.

Unit cell a=5.396 b=5.396 c=7.543 alpha=107.52 beta=107.52 gamma=55.54
Sites, in units of the cell vectors:
Ba: 0.221 0.779 0.750
Ba: 0.779 0.221 0.250
Ag: 0.000 0.500 0.000
Ag: 0.500 0.000 0.500
H: 0.172 0.259 0.610
H: 0.245 0.642 0.077
H: 0.259 0.172 0.110
H: 0.358 0.755 0.423
H: 0.642 0.245 0.577
H: 0.741 0.828 0.890
H: 0.755 0.358 0.923
H: 0.828 0.741 0.390

Values from the calculation:
Symmetry: No. 15
Crystal system: monoclinic



Below is crystalline Ba2AgH at its relaxed geometry, with properties calculated at the PBE level.

Unit cell a=4.404 b=4.404 c=23.536 alpha=90.00 beta=90.00 gamma=120.00
Sites, in units of the cell vectors:
Ba: 0.000 0.000 0.000
Ba: 0.000 0.000 0.193
Ba: 0.333 0.667 0.667
Ba: 0.333 0.667 0.859
Ba: 0.667 0.333 0.333
Ba: 0.667 0.333 0.526
Ag: 0.000 0.000 0.429
Ag: 0.333 0.667 0.096
Ag: 0.667 0.333 0.763
H: 0.000 0.000 0.600
H: 0.333 0.667 0.266
H: 0.667 0.333 0.933

Values from the calculation:
Symmetry: No. 160
Crystal system: trigonal



Below is crystalline BaAgH3 at its relaxed geometry, with properties calculated at the PBE level.

Unit cell a=4.839 b=4.839 c=4.839 alpha=90.00 beta=90.00 gamma=90.00
Sites, in units of the cell vectors:
Ba: 0.000 0.000 0.000
Ag: 0.500 0.500 0.500
H: 0.000 0.000 0.500
H: 0.000 0.500 0.000
H: 0.500 0.000 0.000

Values from the calculation:
Symmetry: No. 221
Crystal system: cubic



Below is crystalline Ba2Ag4H at its relaxed geometry, with properties calculated at the PBE level.

Unit cell a=4.735 b=4.735 c=16.802 alpha=90.00 beta=90.00 gamma=90.00
Sites, in units of the cell vectors:
Ba: 0.000 0.000 0.162
Ba: 0.000 0.000 0.838
Ba: 0.500 0.500 0.338
Ba: 0.500 0.500 0.662
Ag: 0.000 0.000 0.388
Ag: 0.000 0.000 0.612
Ag: 0.000 0.500 0.000
Ag: 0.000 0.500 0.500
Ag: 0.500 0.000 0.000
Ag: 0.500 0.000 0.500
Ag: 0.500 0.500 0.112
Ag: 0.500 0.500 0.888
H: 0.000 0.000 0.500
H: 0.500 0.500 0.000

Values from the calculation:
Symmetry: No. 139
Crystal system: tetragonal



What total moment values result from the calculations? In sequence: 0.000 0.019 0.036 0.000 0.000 0.000 0.000 0.000 0.000 0.000 0.000 0.109 0.073 0.000 0.015 0.000 0.000 μB per atom.
What electronic total energy values result from the calculations? In sequence: -12.48 -25.85 -30.01 -10.35 -30.52 -45.28 -32.47 -40.46 -142.51 -31.36 -28.92 -26.66 -211.14 -37.70 -32.13 -12.34 -37.12 eV/cell.
What DOS(E_F) values result from the calculations? In sequence: 7.612 9.284 8.440 3.350 6.097 17.852 5.834 16.798 13.630 5.712 6.373 10.275 82.733 1.354 7.934 0.392 5.030 states/eV per cell.